A relaxed structure of Cs4Cd2Br, computed with GGA-PBE.

The structure in extended XYZ format:
```
7
Lattice="-3.6597 3.6597 9.0584 3.6597 -3.6597 9.0584 3.6597 3.6597 -9.0584" Properties=species:S:1:pos:R:3 pbc="T T T"
Cs 3.6597 0.0000 0.0000
Cs 0.0000 0.0000 3.5825
Cs 0.0000 3.6597 0.0000
Cs 0.0000 0.0000 14.5342
Cd 0.0000 0.0000 7.5507
Cd 0.0000 0.0000 10.5661
Br 0.0000 0.0000 0.0000
```

Values from the calculation:
Electronic total energy = -1.440 eV per atom
Space group = I4/mmm
E_form (uncorrected) = -0.452 eV/atom


A relaxed structure of Cs6CdBr, computed with GGA-PBE.

The structure in extended XYZ format:
```
8
Lattice="9.3474 0.0000 0.0000 -4.6737 8.0951 0.0000 0.0000 0.0000 9.0977" Properties=species:S:1:pos:R:3 pbc="T T T"
Cs -1.5300 2.6500 2.4071
Cs -3.1437 5.4451 6.6906
Cs 3.0599 0.0000 2.4071
Cs 1.5300 2.6500 6.6906
Cs 6.2875 0.0000 6.6906
Cs 3.1437 5.4451 2.4071
Cd 0.0000 0.0000 0.0000
Br 0.0000 0.0000 4.5488
```

Values from the calculation:
Electronic total energy = -1.356 eV per atom
Space group = P-31m
E_form (uncorrected) = -0.392 eV/atom


A relaxed structure of CsCdBr3, computed with GGA-PBE.

The structure in extended XYZ format:
```
10
Lattice="7.8697 0.0000 0.0000 -3.9348 6.8153 0.0000 0.0000 0.0000 6.9117" Properties=species:S:1:pos:R:3 pbc="T T T"
Cs 0.0000 4.5436 1.7279
Cs 3.9348 2.2718 5.1838
Cd 0.0000 0.0000 0.0000
Cd 0.0000 0.0000 3.4559
Br 0.0000 2.2282 5.1838
Br -2.0052 5.7012 5.1838
Br 1.9297 1.1141 1.7279
Br 2.0052 5.7012 5.1838
Br 5.9400 1.1141 1.7279
Br 3.9348 4.5871 1.7279
```

Values from the calculation:
Energy above the most stable polymorph in this dataset = 1 meV/atom
Electronic total energy = -2.621 eV per atom
Space group = P6_3/mmc
E_form (uncorrected) = -1.263 eV/atom


A relaxed structure of CsCd3Br, computed with GGA-PBE.

The structure in extended XYZ format:
```
5
Lattice="6.5519 0.0000 0.0000 0.0000 6.5519 0.0000 0.0000 0.0000 6.5519" Properties=species:S:1:pos:R:3 pbc="T T T"
Cs 0.0000 0.0000 0.0000
Cd 0.0000 3.2760 3.2760
Cd 3.2760 0.0000 3.2760
Cd 3.2760 3.2760 0.0000
Br 3.2760 3.2760 3.2760
```

Values from the calculation:
Energy above the most stable polymorph in this dataset = 0 meV/atom
Electronic total energy = -1.084 eV per atom
Space group = Pm-3m
E_form (uncorrected) = -0.030 eV/atom


A relaxed structure of CsCd3Br7, computed with GGA-PBE.

The structure in extended XYZ format:
```
11
Lattice="5.8115 -4.8579 0.0000 5.8115 4.8579 0.0000 -0.0341 0.0000 7.1714" Properties=species:S:1:pos:R:3 pbc="T T T"
Cs 0.0000 0.0000 0.0000
Cd 5.7944 1.9336 3.5857
Cd 5.8115 0.0000 0.0000
Cd 5.7944 -1.9336 3.5857
Br -0.0171 0.0000 3.5857
Br 4.2790 1.9419 1.3863
Br 4.1373 0.0000 4.8669
Br 7.3098 1.9419 5.7851
Br 4.2790 -1.9419 1.3863
Br 7.4515 0.0000 2.3044
Br 7.3098 -1.9419 5.7851
```

Values from the calculation:
Electronic total energy = -2.380 eV per atom
Space group = C2/m
E_form (uncorrected) = -0.989 eV/atom


A relaxed structure of CsCd5Br11, computed with GGA-PBE.

The structure in extended XYZ format:
```
17
Lattice="5.4175 -7.4539 0.0000 5.4175 7.4539 0.0000 -3.7583 0.0000 7.5783" Properties=species:S:1:pos:R:3 pbc="T T T"
Cs 0.0000 0.0000 0.0000
Cd 0.1195 2.1287 4.7332
Cd 0.1195 -2.1287 4.7332
Cd 5.4175 0.0000 0.0000
Cd 6.9572 2.1287 2.8451
Cd 6.9572 -2.1287 2.8451
Br -1.8792 0.0000 3.7891
Br 1.9910 4.2432 5.1822
Br -0.3770 1.8939 7.3132
Br 5.0857 4.2432 2.3961
Br 1.9026 0.0000 4.6729
Br -0.3770 -1.8939 7.3132
Br 7.4538 1.8939 0.2651
Br 5.1741 0.0000 2.9054
Br 1.9910 -4.2432 5.1822
Br 7.4538 -1.8939 0.2651
Br 5.0857 -4.2432 2.3961
```

Values from the calculation:
Electronic total energy = -2.343 eV per atom
Space group = C2/m
E_form (uncorrected) = -0.941 eV/atom


A relaxed structure of CsCd2Br, computed with GGA-PBE.

The structure in extended XYZ format:
```
8
Lattice="-5.1058 5.1058 3.4398 5.1058 -5.1058 3.4398 5.1058 5.1058 -3.4398" Properties=species:S:1:pos:R:3 pbc="T T T"
Cs 0.0000 0.0000 0.0000
Cs 0.0000 5.1058 1.7199
Cd 2.5529 2.9241 -0.8599
Cd 7.2874 2.5529 0.8599
Cd 2.5529 2.1817 2.5798
Cd -2.1817 2.5529 4.2997
Br 5.1058 0.0000 1.7199
Br 0.0000 0.0000 3.4398
```

Values from the calculation:
Energy above the most stable polymorph in this dataset = 0 meV/atom
Electronic total energy = -1.564 eV per atom
Space group = I-42d
E_form (uncorrected) = -0.475 eV/atom


A relaxed structure of Cs2Cd2Br7, computed with GGA-PBE.

The structure in extended XYZ format:
```
11
Lattice="5.8174 -6.2015 0.0000 5.8174 6.2015 0.0000 -0.9569 0.0000 6.9045" Properties=species:S:1:pos:R:3 pbc="T T T"
Cs 5.8174 3.1213 0.0000
Cs 5.8174 -3.1213 0.0000
Cd 2.6025 0.0000 3.4229
Cd 8.0754 0.0000 3.4816
Br 1.9520 2.1452 4.7896
Br 1.9354 0.0000 0.9308
Br 1.9520 -2.1452 4.7896
Br 5.3390 0.0000 3.4523
Br 8.7259 2.1452 2.1149
Br 8.7425 0.0000 5.9738
Br 8.7259 -2.1452 2.1149
```

Values from the calculation:
Electronic total energy = -2.435 eV per atom
Space group = C2/m
E_form (uncorrected) = -1.049 eV/atom


A relaxed structure of Cs2Cd2Br, computed with GGA-PBE.

The structure in extended XYZ format:
```
5
Lattice="-2.1910 2.1910 11.0958 2.1910 -2.1910 11.0958 2.1910 2.1910 -11.0958" Properties=species:S:1:pos:R:3 pbc="T T T"
Cs 0.0000 0.0000 2.1424
Cs 0.0000 0.0000 20.0492
Cd 2.1910 0.0000 5.5479
Cd 0.0000 2.1910 5.5479
Br 0.0000 0.0000 11.0958
```

Values from the calculation:
Energy above the most stable polymorph in this dataset = 0 meV/atom
Electronic total energy = -1.727 eV per atom
Space group = I4/mmm
E_form (uncorrected) = -0.685 eV/atom


A relaxed structure of CsCdBr4, computed with GGA-PBE.

The structure in extended XYZ format:
```
12
Lattice="2.8067 -9.4204 0.0000 2.8067 9.4204 0.0000 0.0000 0.0000 8.2623" Properties=species:S:1:pos:R:3 pbc="T T T"
Cs 2.8067 7.7840 4.1311
Cs 2.8067 -7.7840 0.0000
Cd 2.8067 2.5385 3.8999
Cd 2.8067 -2.5385 8.0310
Br 2.8067 7.4670 0.1558
Br 2.8067 4.6075 2.0709
Br 2.8067 4.3987 6.0407
Br 2.8067 0.3903 2.3036
Br 2.8067 -0.3903 6.4348
Br 2.8067 -4.3987 1.9096
Br 2.8067 -4.6075 6.2020
Br 2.8067 -7.4670 4.2869
```

Values from the calculation:
Electronic total energy = -2.374 eV per atom
Space group = Cmc2_1
E_form (uncorrected) = -0.964 eV/atom


A relaxed structure of Cs2CdBr2, computed with GGA-PBE.

The structure in extended XYZ format:
```
10
Lattice="10.1918 0.0000 0.0000 0.0000 10.1918 0.0000 0.0000 0.0000 4.4769" Properties=species:S:1:pos:R:3 pbc="T T T"
Cs 1.4663 3.6296 0.0000
Cs 3.6296 8.7254 0.0000
Cs 6.5622 1.4663 0.0000
Cs 8.7254 6.5622 0.0000
Cd 0.0000 0.0000 0.0000
Cd 5.0959 5.0959 0.0000
Br 1.5581 6.6540 2.2384
Br 3.5378 1.5581 2.2384
Br 6.6540 8.6337 2.2384
Br 8.6337 3.5378 2.2384
```

Values from the calculation:
Energy above the most stable polymorph in this dataset = 0 meV/atom
Electronic total energy = -2.423 eV per atom
Space group = P4/mbm
E_form (uncorrected) = -1.230 eV/atom


A relaxed structure of CsCd4Br8, computed with GGA-PBE.

The structure in extended XYZ format:
```
13
Lattice="4.1945 2.4217 8.9640 -4.1945 2.4217 8.9640 0.0000 -4.8434 8.9640" Properties=species:S:1:pos:R:3 pbc="T T T"
Cs 0.0000 0.0000 0.0000
Cd -4.1945 0.0000 13.4460
Cd -2.0973 1.2108 4.4820
Cd 2.0973 1.2109 4.4820
Cd 0.0000 0.0000 13.4461
Br -2.1956 -1.2676 15.0269
Br 0.0000 0.0000 6.0380
Br 0.0000 -2.5352 11.8652
Br -2.1956 1.2676 11.8652
Br 2.1956 -1.2676 15.0269
Br 0.0000 2.5352 15.0269
Br 0.0000 0.0000 20.8541
Br 2.1956 1.2676 11.8652
```

Values from the calculation:
Electronic total energy = -2.274 eV per atom
Space group = R-3m
E_form (uncorrected) = -0.897 eV/atom


A relaxed structure of Cs2CdCuBr, computed with GGA-PBE.

The structure in extended XYZ format:
```
5
Lattice="7.0569 0.0000 0.0000 0.0000 7.0569 0.0000 0.0000 0.0000 5.0128" Properties=species:S:1:pos:R:3 pbc="T T T"
Cs 0.0000 3.5284 0.0000
Cs 3.5284 0.0000 0.0000
Cd 0.0000 0.0000 2.5064
Cu 3.5284 3.5284 2.5064
Br 3.5284 3.5284 0.0000
```

Values from the calculation:
Electronic total energy = -1.863 eV per atom
Space group = P4/mmm
E_form (uncorrected) = -0.185 eV/atom


A relaxed structure of Cs3Cd2CuBr9, computed with GGA-PBE.

The structure in extended XYZ format:
```
15
Lattice="7.7732 0.0000 0.0000 -3.8866 6.7318 0.0000 0.0000 0.0000 9.5575" Properties=species:S:1:pos:R:3 pbc="T T T"
Cs 0.0000 0.0000 0.0000
Cs 0.0000 4.4878 6.3680
Cs 3.8866 2.2439 3.1895
Cd 0.0000 4.4878 1.6908
Cd 3.8866 2.2439 7.8667
Cu 0.0000 0.0000 4.7787
Br -1.9433 3.3659 0.0000
Br 0.0000 2.1633 3.2658
Br -2.0131 5.6501 3.2658
Br 1.8734 1.0816 6.2917
Br 3.8866 0.0000 0.0000
Br 1.9433 3.3659 0.0000
Br 2.0131 5.6501 3.2658
Br 5.8997 1.0816 6.2917
Br 3.8866 4.5685 6.2917
```

Values from the calculation:
Electronic total energy = -2.663 eV per atom
Space group = P-3m1
E_form (uncorrected) = -1.093 eV/atom


A relaxed structure of Cs2CdCuBr5, computed with GGA-PBE.

The structure in extended XYZ format:
```
18
Lattice="2.1968 -10.5517 0.0000 2.1968 10.5517 0.0000 0.0000 0.0000 14.6235" Properties=species:S:1:pos:R:3 pbc="T T T"
Cs 2.1968 7.9957 7.3117
Cs 2.1968 7.8616 1.6849
Cs 2.1968 -7.8616 8.9967
Cs 2.1968 -7.9957 0.0000
Cd 2.1968 6.1707 11.9831
Cd 2.1968 -6.1707 4.6714
Cu 2.1968 1.4873 3.3841
Cu 2.1968 -1.4873 10.6959
Br 2.1968 8.9503 11.9265
Br 2.1968 4.3684 6.5453
Br 2.1968 4.0936 2.7060
Br 2.1968 3.4814 11.8119
Br 2.1968 0.1174 1.4259
Br 2.1968 -0.1174 8.7376
Br 2.1968 -3.4814 4.5001
Br 2.1968 -4.0936 10.0178
Br 2.1968 -4.3684 13.8571
Br 2.1968 -8.9503 4.6148
```

Values from the calculation:
Electronic total energy = -2.817 eV per atom
Space group = Cmc2_1
E_form (uncorrected) = -1.141 eV/atom


A relaxed structure of CsCdCu2Br8, computed with GGA-PBE.

The structure in extended XYZ format:
```
12
Lattice="6.7951 0.0000 0.0000 -3.3976 5.8848 0.0000 0.0000 0.0000 9.8660" Properties=species:S:1:pos:R:3 pbc="T T T"
Cs 0.0000 0.0000 0.0000
Cd 0.0000 0.0000 4.9330
Cu 0.0000 3.9232 7.2339
Cu 3.3976 1.9616 2.6320
Br -2.2323 3.9598 3.2438
Br 1.0844 1.9716 3.2438
Br 0.0000 3.9232 9.5974
Br 2.2497 0.0467 6.6222
Br 1.1479 5.8381 3.2438
Br 3.3976 1.9616 0.2686
Br 2.3131 3.9131 6.6222
Br 5.6299 1.9250 6.6222
```

Values from the calculation:
Electronic total energy = -2.527 eV per atom
Space group = P-3
E_form (uncorrected) = -0.582 eV/atom


A relaxed structure of Cs2CdCu2Br6, computed with GGA-PBE.

The structure in extended XYZ format:
```
11
Lattice="6.8896 -3.9148 0.0000 6.8896 3.9148 0.0000 -4.1211 0.0000 6.8979" Properties=species:S:1:pos:R:3 pbc="T T T"
Cs 2.3249 0.0000 1.5212
Cs 7.3332 0.0000 5.3767
Cd -2.0606 0.0000 3.4489
Cu 2.7729 0.0000 5.4738
Cu 6.8852 0.0000 1.4241
Br 5.6101 2.0106 1.5274
Br 0.4618 0.0000 4.8566
Br 4.0480 2.0106 5.3705
Br 5.6101 -2.0106 1.5274
Br 9.1962 0.0000 2.0413
Br 4.0480 -2.0106 5.3705
```

Values from the calculation:
Electronic total energy = -2.873 eV per atom
Space group = C2/m
E_form (uncorrected) = -0.977 eV/atom


A relaxed structure of Cs2DyCdBr6, computed with GGA-PBE.

The structure in extended XYZ format:
```
20
Lattice="8.2752 0.0000 0.0000 0.0000 11.6861 0.0000 0.0000 0.0000 8.2770" Properties=species:S:1:pos:R:3 pbc="T T T"
Cs 2.0688 11.6856 2.0685
Cs 2.0688 5.8434 2.0685
Cs 6.2064 0.0004 6.2085
Cs 6.2064 5.8426 6.2085
Dy 2.0688 2.9215 6.1976
Dy 6.2064 8.7645 2.0795
Cd 2.0688 8.7645 6.2175
Cd 6.2064 2.9215 2.0596
Br 0.0836 2.9215 8.1793
Br 0.0872 2.9215 4.2132
Br 2.0688 0.1177 6.2014
Br 2.0688 5.7253 6.2014
Br 4.0504 2.9215 4.2132
Br 4.0540 2.9215 8.1793
Br 4.2212 8.7645 0.0977
Br 4.2248 8.7645 4.0638
Br 6.2064 5.9608 2.0757
Br 6.2064 11.5683 2.0757
Br 8.1880 8.7645 4.0638
Br 8.1916 8.7645 0.0977
```

Values from the calculation:
Electronic total energy = -3.267 eV per atom
Space group = Pmmn
E_form (uncorrected) = -1.541 eV/atom


A relaxed structure of CsErCdBr6, computed with GGA-PBE.

The structure in extended XYZ format:
```
9
Lattice="7.3106 0.0000 0.0000 -3.6553 6.3312 0.0000 0.0000 0.0000 8.1226" Properties=species:S:1:pos:R:3 pbc="T T T"
Cs 0.0000 0.0000 0.0000
Er 3.6553 2.1104 4.0613
Cd 0.0000 4.2208 4.0613
Br 2.7711 0.0184 2.4297
Br 1.4015 2.3907 5.6930
Br 4.5395 0.0184 5.6930
Br 2.2857 3.9221 2.4297
Br 5.9091 2.3907 2.4297
Br 5.0249 3.9221 5.6930
```

Values from the calculation:
Electronic total energy = -3.360 eV per atom
Space group = P312
E_form (uncorrected) = -1.541 eV/atom


A relaxed structure of Cs2ErCdBr6, computed with GGA-PBE.

The structure in extended XYZ format:
```
20
Lattice="8.2485 0.0000 0.0000 0.0000 11.6525 0.0000 0.0000 0.0000 8.2478" Properties=species:S:1:pos:R:3 pbc="T T T"
Cs 2.0621 11.6515 2.0630
Cs 2.0621 5.8272 2.0630
Cs 6.1864 0.0010 6.1848
Cs 6.1864 5.8253 6.1848
Er 2.0621 2.9131 6.1741
Er 6.1864 8.7394 2.0737
Cd 2.0621 8.7394 6.1969
Cd 6.1864 2.9131 2.0509
Br 0.0910 2.9131 8.1386
Br 0.0969 2.9131 4.2022
Br 2.0621 0.1295 6.1773
Br 2.0621 5.6968 6.1773
Br 4.0273 2.9131 4.2022
Br 4.0333 2.9131 8.1386
Br 4.2152 8.7394 0.1092
Br 4.2212 8.7394 4.0456
Br 6.1864 5.9557 2.0704
Br 6.1864 11.5230 2.0704
Br 8.1516 8.7394 4.0456
Br 8.1576 8.7394 0.1092
```

Values from the calculation:
Electronic total energy = -3.262 eV per atom
Space group = Pmmn
E_form (uncorrected) = -1.540 eV/atom